Entry from the Alexandria database: a relaxed LiBeZnTe crystal (GGA-PBE).

* uncorrected formation energy: -103 meV/atom
* space-group type: Amm2 (38)

Cell and atoms, written as CIF:
```
data_LiBeZnTe
_chemical_formula_sum 'Li2 Be2 Zn2 Te2'
_space_group_name_H-M_alt 'P 1'
_space_group_IT_number 1
_cell_length_a 3.945
_cell_length_b 4.268
_cell_length_c 9.557
_cell_angle_alpha 90.00
_cell_angle_beta 90.00
_cell_angle_gamma 90.00
loop_
_space_group_symop_operation_xyz
'x,y,z'
loop_
_atom_site_label
_atom_site_fract_x
_atom_site_fract_y
_atom_site_fract_z
_atom_site_occupancy
Li1 0.500 0.000 0.123 1
Li2 0.500 0.500 0.623 1
Be1 0.500 0.000 0.826 1
Be2 0.500 0.500 0.326 1
Zn1 0.500 0.000 0.427 1
Zn2 0.500 0.500 0.927 1
Te1 0.000 0.000 0.672 1
Te2 0.000 0.500 0.172 1
```

Entry from the Alexandria database: a relaxed LiZr2BeTe crystal (GGA-PBE).

* uncorrected formation energy: 677 meV/atom
* space-group type: P4/mmm (123)

Cell and atoms, written as CIF:
```
data_LiZr2BeTe
_chemical_formula_sum 'Li1 Zr2 Be1 Te1'
_space_group_name_H-M_alt 'P 1'
_space_group_IT_number 1
_cell_length_a 4.736
_cell_length_b 4.416
_cell_length_c 4.736
_cell_angle_alpha 90.00
_cell_angle_beta 90.00
_cell_angle_gamma 90.00
loop_
_space_group_symop_operation_xyz
'x,y,z'
loop_
_atom_site_label
_atom_site_fract_x
_atom_site_fract_y
_atom_site_fract_z
_atom_site_occupancy
Be1 0.500 0.500 0.500 1
Te1 0.000 0.500 0.000 1
Zr1 0.000 0.000 0.500 1
Zr2 0.500 0.000 0.000 1
Li1 0.000 0.000 0.000 1
```

Entry from the Alexandria database: a relaxed LiTi2Be crystal (GGA-PBE).

* space-group type: R-3m (166)
* ΔE_f: 1.177 eV per formula unit

Cell and atoms, written as CIF:
```
data_LiTi2Be
_chemical_formula_sum 'Li1 Ti2 Be1'
_space_group_name_H-M_alt 'P 1'
_space_group_IT_number 1
_cell_length_a 2.655
_cell_length_b 2.655
_cell_length_c 10.058
_cell_angle_alpha 82.42
_cell_angle_beta 82.42
_cell_angle_gamma 60.00
loop_
_space_group_symop_operation_xyz
'x,y,z'
loop_
_atom_site_label
_atom_site_fract_x
_atom_site_fract_y
_atom_site_fract_z
_atom_site_occupancy
Be1 0.500 0.500 0.500 1
Li1 0.000 0.000 0.000 1
Ti1 0.093 0.093 0.720 1
Ti2 0.907 0.907 0.280 1
```

Entry from the Alexandria database: a relaxed LiTiBe10 crystal (GGA-PBE).

* space-group type: Pmmm (47)
* ΔE_f: -1.233 eV per formula unit

Cell and atoms, written as CIF:
```
data_LiTiBe10
_chemical_formula_sum 'Li1 Ti1 Be10'
_space_group_name_H-M_alt 'P 1'
_space_group_IT_number 1
_cell_length_a 3.501
_cell_length_b 4.322
_cell_length_c 7.528
_cell_angle_alpha 90.00
_cell_angle_beta 90.00
_cell_angle_gamma 90.00
loop_
_space_group_symop_operation_xyz
'x,y,z'
loop_
_atom_site_label
_atom_site_fract_x
_atom_site_fract_y
_atom_site_fract_z
_atom_site_occupancy
Li1 0.000 0.500 0.500 1
Ti1 0.000 0.000 0.000 1
Be1 0.000 0.000 0.335 1
Be2 0.000 0.500 0.825 1
Be3 0.000 0.500 0.175 1
Be4 0.000 0.000 0.665 1
Be5 0.500 0.000 0.500 1
Be6 0.500 0.500 0.000 1
Be7 0.500 0.240 0.239 1
Be8 0.500 0.760 0.761 1
Be9 0.500 0.760 0.239 1
Be10 0.500 0.240 0.761 1
```

Entry from the Alexandria database: a relaxed LiTi2Be crystal (GGA-PBE).

* space-group type: I-42d (122)
* ΔE_f: 1.766 eV per formula unit

Cell and atoms, written as CIF:
```
data_LiTi2Be
_chemical_formula_sum 'Li2 Ti4 Be2'
_space_group_name_H-M_alt 'P 1'
_space_group_IT_number 1
_cell_length_a 6.897
_cell_length_b 6.897
_cell_length_c 5.441
_cell_angle_alpha 50.67
_cell_angle_beta 50.67
_cell_angle_gamma 90.00
loop_
_space_group_symop_operation_xyz
'x,y,z'
loop_
_atom_site_label
_atom_site_fract_x
_atom_site_fract_y
_atom_site_fract_z
_atom_site_occupancy
Be1 0.000 0.000 0.000 1
Be2 0.750 0.250 0.500 1
Li1 0.500 0.500 0.000 1
Li2 0.250 0.750 0.500 1
Ti1 0.634 0.125 0.250 1
Ti2 0.116 0.625 0.250 1
Ti3 0.375 0.366 0.750 1
Ti4 0.875 0.884 0.750 1
```

Entry from the Alexandria database: a relaxed LiTi3Be crystal (GGA-PBE).

* space-group type: Pm-3m (221)
* ΔE_f: 2.971 eV per formula unit

Cell and atoms, written as CIF:
```
data_LiTi3Be
_chemical_formula_sum 'Li1 Ti3 Be1'
_space_group_name_H-M_alt 'P 1'
_space_group_IT_number 1
_cell_length_a 4.465
_cell_length_b 4.465
_cell_length_c 4.465
_cell_angle_alpha 90.00
_cell_angle_beta 90.00
_cell_angle_gamma 90.00
loop_
_space_group_symop_operation_xyz
'x,y,z'
loop_
_atom_site_label
_atom_site_fract_x
_atom_site_fract_y
_atom_site_fract_z
_atom_site_occupancy
Be1 0.000 0.000 0.000 1
Li1 0.500 0.500 0.500 1
Ti1 0.000 0.500 0.000 1
Ti2 0.000 0.000 0.500 1
Ti3 0.500 0.000 0.000 1
```

Entry from the Alexandria database: a relaxed LiTiBe17 crystal (GGA-PBE).

* space-group type: R3m (160)
* ΔE_f: -1.695 eV per formula unit

Cell and atoms, written as CIF:
```
data_LiTiBe17
_chemical_formula_sum 'Li1 Ti1 Be17'
_space_group_name_H-M_alt 'P 1'
_space_group_IT_number 1
_cell_length_a 5.568
_cell_length_b 5.568
_cell_length_c 5.568
_cell_angle_alpha 82.55
_cell_angle_beta 82.55
_cell_angle_gamma 82.55
loop_
_space_group_symop_operation_xyz
'x,y,z'
loop_
_atom_site_label
_atom_site_fract_x
_atom_site_fract_y
_atom_site_fract_z
_atom_site_occupancy
Li1 0.343 0.343 0.343 1
Ti1 0.664 0.664 0.664 1
Be1 0.296 0.001 0.702 1
Be2 0.702 0.296 0.001 1
Be3 0.001 0.702 0.296 1
Be4 0.296 0.702 0.001 1
Be5 0.001 0.296 0.702 1
Be6 0.702 0.001 0.296 1
Be7 0.345 0.846 0.345 1
Be8 0.345 0.345 0.846 1
Be9 0.846 0.345 0.345 1
Be10 0.656 0.162 0.656 1
Be11 0.656 0.656 0.162 1
Be12 0.162 0.656 0.656 1
Be13 0.990 0.505 0.990 1
Be14 0.990 0.990 0.505 1
Be15 0.505 0.990 0.990 1
Be16 0.900 0.900 0.900 1
Be17 0.098 0.098 0.098 1
```

Entry from the Alexandria database: a relaxed LiTiBeV2 crystal (GGA-PBE).

* space-group type: P4/mmm (123)
* ΔE_f: 5.876 eV per formula unit

Cell and atoms, written as CIF:
```
data_LiTiBeV2
_chemical_formula_sum 'Li1 Ti1 Be1 V2'
_space_group_name_H-M_alt 'P 1'
_space_group_IT_number 1
_cell_length_a 4.331
_cell_length_b 4.686
_cell_length_c 4.331
_cell_angle_alpha 90.00
_cell_angle_beta 90.00
_cell_angle_gamma 90.00
loop_
_space_group_symop_operation_xyz
'x,y,z'
loop_
_atom_site_label
_atom_site_fract_x
_atom_site_fract_y
_atom_site_fract_z
_atom_site_occupancy
Be1 0.000 0.500 0.000 1
Ti1 0.000 0.000 0.000 1
Li1 0.500 0.500 0.500 1
V1 0.000 0.000 0.500 1
V2 0.500 0.000 0.000 1
```

Entry from the Alexandria database: a relaxed LiTiBeZn crystal (GGA-PBE).

* space-group type: F-43m (216)
* ΔE_f: 0.054 eV per formula unit

Cell and atoms, written as CIF:
```
data_LiTiBeZn
_chemical_formula_sum 'Li1 Ti1 Be1 Zn1'
_space_group_name_H-M_alt 'P 1'
_space_group_IT_number 1
_cell_length_a 4.143
_cell_length_b 4.143
_cell_length_c 4.143
_cell_angle_alpha 60.00
_cell_angle_beta 60.00
_cell_angle_gamma 60.00
loop_
_space_group_symop_operation_xyz
'x,y,z'
loop_
_atom_site_label
_atom_site_fract_x
_atom_site_fract_y
_atom_site_fract_z
_atom_site_occupancy
Be1 0.000 0.000 0.000 1
Zn1 0.750 0.750 0.750 1
Li1 0.500 0.500 0.500 1
Ti1 0.250 0.250 0.250 1
```

Entry from the Alexandria database: a relaxed LiZr2TiBe crystal (GGA-PBE).

* space-group type: P4/mmm (123)
* ΔE_f: 4.790 eV per formula unit

Cell and atoms, written as CIF:
```
data_LiZr2TiBe
_chemical_formula_sum 'Li1 Zr2 Ti1 Be1'
_space_group_name_H-M_alt 'P 1'
_space_group_IT_number 1
_cell_length_a 4.622
_cell_length_b 4.367
_cell_length_c 4.622
_cell_angle_alpha 90.00
_cell_angle_beta 90.00
_cell_angle_gamma 90.00
loop_
_space_group_symop_operation_xyz
'x,y,z'
loop_
_atom_site_label
_atom_site_fract_x
_atom_site_fract_y
_atom_site_fract_z
_atom_site_occupancy
Be1 0.500 0.500 0.500 1
Li1 0.000 0.000 0.000 1
Zr1 0.000 0.000 0.500 1
Zr2 0.500 0.000 0.000 1
Ti1 0.000 0.500 0.000 1
```

Entry from the Alexandria database: a relaxed Li2BeTl crystal (GGA-PBE).

* space-group type: Cm (8)
* ΔE_f: 0.020 eV per formula unit

Cell and atoms, written as CIF:
```
data_Li2BeTl
_chemical_formula_sum 'Li2 Be1 Tl1'
_space_group_name_H-M_alt 'P 1'
_space_group_IT_number 1
_cell_length_a 4.419
_cell_length_b 4.402
_cell_length_c 4.419
_cell_angle_alpha 119.89
_cell_angle_beta 120.04
_cell_angle_gamma 90.16
loop_
_space_group_symop_operation_xyz
'x,y,z'
loop_
_atom_site_label
_atom_site_fract_x
_atom_site_fract_y
_atom_site_fract_z
_atom_site_occupancy
Be1 0.250 0.750 0.500 1
Li1 0.000 0.000 0.000 1
Li2 0.750 0.250 0.500 1
Tl1 0.500 0.500 0.000 1
```

Entry from the Alexandria database: a relaxed LiBeTl2 crystal (GGA-PBE).

* space-group type: Cmm2 (35)
* ΔE_f: 1.236 eV per formula unit

Cell and atoms, written as CIF:
```
data_LiBeTl2
_chemical_formula_sum 'Li1 Be1 Tl2'
_space_group_name_H-M_alt 'P 1'
_space_group_IT_number 1
_cell_length_a 3.515
_cell_length_b 3.515
_cell_length_c 6.717
_cell_angle_alpha 90.00
_cell_angle_beta 90.00
_cell_angle_gamma 93.37
loop_
_space_group_symop_operation_xyz
'x,y,z'
loop_
_atom_site_label
_atom_site_fract_x
_atom_site_fract_y
_atom_site_fract_z
_atom_site_occupancy
Be1 0.000 0.000 0.531 1
Li1 0.500 0.500 0.712 1
Tl1 0.000 0.000 0.953 1
Tl2 0.500 0.500 0.304 1
```

Entry from the Alexandria database: a relaxed Li2BeTl crystal (GGA-PBE).

* space-group type: R-3m (166)
* ΔE_f: 1.420 eV per formula unit

Cell and atoms, written as CIF:
```
data_Li2BeTl
_chemical_formula_sum 'Li2 Be1 Tl1'
_space_group_name_H-M_alt 'P 1'
_space_group_IT_number 1
_cell_length_a 8.748
_cell_length_b 8.748
_cell_length_c 8.748
_cell_angle_alpha 20.97
_cell_angle_beta 20.97
_cell_angle_gamma 20.97
loop_
_space_group_symop_operation_xyz
'x,y,z'
loop_
_atom_site_label
_atom_site_fract_x
_atom_site_fract_y
_atom_site_fract_z
_atom_site_occupancy
Be1 0.750 0.750 0.750 1
Li1 0.009 0.009 0.009 1
Li2 0.491 0.491 0.491 1
Tl1 0.250 0.250 0.250 1
```

Entry from the Alexandria database: a relaxed LiBeTl2 crystal (GGA-PBE).

* space-group type: Pm (6)
* ΔE_f: 1.119 eV per formula unit

Cell and atoms, written as CIF:
```
data_LiBeTl2
_chemical_formula_sum 'Li1 Be1 Tl2'
_space_group_name_H-M_alt 'P 1'
_space_group_IT_number 1
_cell_length_a 4.612
_cell_length_b 3.606
_cell_length_c 5.625
_cell_angle_alpha 64.41
_cell_angle_beta 90.00
_cell_angle_gamma 90.00
loop_
_space_group_symop_operation_xyz
'x,y,z'
loop_
_atom_site_label
_atom_site_fract_x
_atom_site_fract_y
_atom_site_fract_z
_atom_site_occupancy
Be1 0.000 0.456 0.476 1
Li1 0.500 0.607 0.740 1
Tl1 0.000 0.059 0.982 1
Tl2 0.500 0.378 0.302 1
```

Entry from the Alexandria database: a relaxed Li2BeTl crystal (GGA-PBE).

* space-group type: Fm-3m (225)
* ΔE_f: 0.529 eV per formula unit

Cell and atoms, written as CIF:
```
data_Li2BeTl
_chemical_formula_sum 'Li2 Be1 Tl1'
_space_group_name_H-M_alt 'P 1'
_space_group_IT_number 1
_cell_length_a 4.466
_cell_length_b 4.466
_cell_length_c 4.466
_cell_angle_alpha 60.00
_cell_angle_beta 60.00
_cell_angle_gamma 60.00
loop_
_space_group_symop_operation_xyz
'x,y,z'
loop_
_atom_site_label
_atom_site_fract_x
_atom_site_fract_y
_atom_site_fract_z
_atom_site_occupancy
Be1 0.000 0.000 0.000 1
Tl1 0.500 0.500 0.500 1
Li1 0.250 0.250 0.250 1
Li2 0.750 0.750 0.750 1
```

Entry from the Alexandria database: a relaxed LiBeTl2 crystal (GGA-PBE).

* space-group type: Amm2 (38)
* ΔE_f: 1.091 eV per formula unit

Cell and atoms, written as CIF:
```
data_LiBeTl2
_chemical_formula_sum 'Li1 Be1 Tl2'
_space_group_name_H-M_alt 'P 1'
_space_group_IT_number 1
_cell_length_a 5.377
_cell_length_b 5.377
_cell_length_c 4.490
_cell_angle_alpha 89.99
_cell_angle_beta 89.99
_cell_angle_gamma 38.18
loop_
_space_group_symop_operation_xyz
'x,y,z'
loop_
_atom_site_label
_atom_site_fract_x
_atom_site_fract_y
_atom_site_fract_z
_atom_site_occupancy
Be1 0.457 0.457 0.625 1
Li1 0.297 0.297 0.125 1
Tl1 0.016 0.016 0.125 1
Tl2 0.729 0.729 0.625 1
```

Entry from the Alexandria database: a relaxed LiBe2Tl crystal (GGA-PBE).

* space-group type: P4mm (99)
* ΔE_f: 1.371 eV per formula unit

Cell and atoms, written as CIF:
```
data_LiBe2Tl
_chemical_formula_sum 'Li1 Be2 Tl1'
_space_group_name_H-M_alt 'P 1'
_space_group_IT_number 1
_cell_length_a 3.010
_cell_length_b 3.010
_cell_length_c 6.695
_cell_angle_alpha 90.00
_cell_angle_beta 90.00
_cell_angle_gamma 90.00
loop_
_space_group_symop_operation_xyz
'x,y,z'
loop_
_atom_site_label
_atom_site_fract_x
_atom_site_fract_y
_atom_site_fract_z
_atom_site_occupancy
Be1 0.000 0.000 0.089 1
Be2 0.500 0.500 0.190 1
Li1 0.000 0.000 0.450 1
Tl1 0.500 0.500 0.770 1
```

Entry from the Alexandria database: a relaxed LiBe2Tl crystal (GGA-PBE).

* space-group type: R-3m (166)
* ΔE_f: 2.962 eV per formula unit

Cell and atoms, written as CIF:
```
data_LiBe2Tl
_chemical_formula_sum 'Li1 Be2 Tl1'
_space_group_name_H-M_alt 'P 1'
_space_group_IT_number 1
_cell_length_a 8.888
_cell_length_b 8.888
_cell_length_c 8.888
_cell_angle_alpha 19.29
_cell_angle_beta 19.29
_cell_angle_gamma 19.29
loop_
_space_group_symop_operation_xyz
'x,y,z'
loop_
_atom_site_label
_atom_site_fract_x
_atom_site_fract_y
_atom_site_fract_z
_atom_site_occupancy
Be1 0.996 0.996 0.996 1
Be2 0.504 0.504 0.504 1
Li1 0.250 0.250 0.250 1
Tl1 0.750 0.750 0.750 1
```

Entry from the Alexandria database: a relaxed LiBe2Tl crystal (GGA-PBE).

* space-group type: Fm-3m (225)
* ΔE_f: 1.635 eV per formula unit

Cell and atoms, written as CIF:
```
data_LiBe2Tl
_chemical_formula_sum 'Li1 Be2 Tl1'
_space_group_name_H-M_alt 'P 1'
_space_group_IT_number 1
_cell_length_a 4.265
_cell_length_b 4.265
_cell_length_c 4.265
_cell_angle_alpha 60.00
_cell_angle_beta 60.00
_cell_angle_gamma 60.00
loop_
_space_group_symop_operation_xyz
'x,y,z'
loop_
_atom_site_label
_atom_site_fract_x
_atom_site_fract_y
_atom_site_fract_z
_atom_site_occupancy
Be1 0.250 0.250 0.250 1
Be2 0.750 0.750 0.750 1
Tl1 0.500 0.500 0.500 1
Li1 0.000 0.000 0.000 1
```

Entry from the Alexandria database: a relaxed LiBeTl2 crystal (GGA-PBE).

* space-group type: P4/mmm (123)
* ΔE_f: 1.127 eV per formula unit

Cell and atoms, written as CIF:
```
data_LiBeTl2
_chemical_formula_sum 'Li1 Be1 Tl2'
_space_group_name_H-M_alt 'P 1'
_space_group_IT_number 1
_cell_length_a 4.769
_cell_length_b 4.779
_cell_length_c 3.506
_cell_angle_alpha 90.00
_cell_angle_beta 90.00
_cell_angle_gamma 90.00
loop_
_space_group_symop_operation_xyz
'x,y,z'
loop_
_atom_site_label
_atom_site_fract_x
_atom_site_fract_y
_atom_site_fract_z
_atom_site_occupancy
Be1 0.500 0.000 0.500 1
Li1 0.000 0.500 0.500 1
Tl1 0.000 0.000 0.000 1
Tl2 0.500 0.500 0.000 1
```

The mass density results, record by record, are as follows: 4.31 5.47 3.06 2.11 3.23 2.98 2.05 3.13 4.27 4.38 6.21 8.51 5.03 8.36 5.99 8.79 6.28 5.68 6.94 8.83 g cm⁻³.